PrNd2Sm6Mg: relaxed, GGA-PBE.

Summary:
The formation energy from the elements is 0.1092 eV/atom. The calculated total energy comes out at -43.13 eV/f.u. Its crystal system is monoclinic. The density of states at the Fermi level comes out at 1.35 states/eV per atom.

a b c (Å): 9.216 9.073 9.073
angles (deg): 117.80 91.06 91.06
Sites, in units of the cell vectors:
Sm: 0.943 0.855 0.215
Nd: 0.054 0.332 0.215
Pr: 0.750 0.025 0.975
Sm: 0.289 0.005 0.427
Mg: 0.250 0.422 0.578
Nd: 0.554 0.215 0.332
Sm: 0.903 0.270 0.503
Sm: 0.403 0.503 0.270
Sm: 0.597 0.497 0.730
Sm: 0.057 0.145 0.785
Nd: 0.946 0.668 0.785
Nd: 0.446 0.785 0.668
Pr: 0.250 0.975 0.025
Sm: 0.211 0.573 0.995
Sm: 0.557 0.785 0.145
Sm: 0.711 0.995 0.573
Mg: 0.750 0.578 0.422
Sm: 0.789 0.427 0.005
Sm: 0.443 0.215 0.855
Sm: 0.097 0.730 0.497


Na15Pb: relaxed, GGA-PBE.

Summary:
The formation energy from the elements is -0.0164 eV/atom. The calculated total energy comes out at -23.76 eV/f.u. Its crystal system is hexagonal. The density of states at the Fermi level comes out at 0.58 states/eV per atom.

a b c (Å): 7.338 7.338 11.983
angles (deg): 90.00 90.00 120.00
Sites, in units of the cell vectors:
Na: 0.323 0.162 0.238
Na: 0.994 0.497 0.500
Na: 0.004 0.502 0.000
Na: 0.503 0.497 0.500
Na: 0.838 0.162 0.762
Na: 0.000 0.000 0.500
Na: 0.323 0.162 0.762
Na: 0.503 0.006 0.500
Pb: 0.000 0.000 0.000
Na: 0.498 0.502 0.000
Na: 0.838 0.677 0.238
Na: 0.498 0.996 0.000
Na: 0.838 0.677 0.762
Na: 0.838 0.162 0.238
Na: 0.333 0.667 0.259
Na: 0.333 0.667 0.741


AgSb2: relaxed, GGA-PBE.

Summary:
Its formation energy from raw total energies is 0.25 eV per atom. The calculated total energy comes out at -10.34 eV/f.u. Its crystal system is hexagonal. The density of states at the Fermi level comes out at 0.29 states/eV per atom.

a b c (Å): 5.146 5.146 6.436
angles (deg): 90.00 90.00 120.00
Sites, in units of the cell vectors:
Sb: 0.667 0.333 0.250
Sb: 0.000 0.000 0.000
Ag: 0.333 0.667 0.250
Sb: 0.333 0.667 0.750
Sb: 0.000 0.000 0.500
Ag: 0.667 0.333 0.750


TbCeTm: relaxed, GGA-PBE.

Summary:
For the energy above the most stable polymorph in this dataset, the calculation gives 185 meV/atom. The formation energy from the elements is 0.2480 eV/atom. The calculated total energy comes out at -14.29 eV/f.u. Its crystal system is orthorhombic. The density of states at the Fermi level comes out at 2.23 states/eV per atom.

a b c (Å): 6.486 10.592 6.184
angles (deg): 90.00 121.62 90.00
Each line ends with the local moment (μB).
Sites, in units of the cell vectors:
Tb: 0.500 0.656 0.500  0.03
Tb: 0.000 0.844 0.500  0.03
Ce: 0.500 0.750 0.000  0.54
Tb: 0.500 0.344 0.500  0.03
Ce: 0.000 0.250 0.000  0.54
Tb: 0.000 0.156 0.500  0.03
Ce: 0.500 0.250 0.000  0.54
Tm: 0.842 0.500 0.184  0.03
Ce: 0.000 0.750 0.000  0.54
Tm: 0.158 0.500 0.816  0.03
Tm: 0.342 0.000 0.184  0.03
Tm: 0.658 0.000 0.816  0.03


Number 1: ρ 6.7 g/cm³. Number 2: ρ 1.6 g/cm³. Number 3: ρ 7.9 g/cm³. Number 4: ρ 8.6 g/cm³.